# 1
VASP calculation (PBE-GGA) on a relaxed structure of TbNi4Sn2.

```
data_TbNi4Sn2
_symmetry_space_group_name_H-M 'P 42/m n m'
_symmetry_Int_Tables_number 136
_symmetry_space_group_name_Hall '-P 4n 2n'
_cell_length_a 7.494
_cell_length_b 7.494
_cell_length_c 4.130
_cell_angle_alpha 90.00
_cell_angle_beta 90.00
_cell_angle_gamma 90.00
loop_
_atom_site_label
_atom_site_type_symbol
_atom_site_fract_x
_atom_site_fract_y
_atom_site_fract_z
Tb1 Tb 0.000 0.000 0.000
Ni1 Ni 0.097 0.366 0.500
Sn1 Sn 0.216 0.784 0.500
```

Results
Its formation energy is -0.30 eV/atom.

=====

# 2
VASP calculation (PBE-GGA) on a relaxed structure of Tb2NiSn.

```
data_Tb2NiSn
_symmetry_space_group_name_H-M 'R -3 m'
_symmetry_Int_Tables_number 166
_symmetry_space_group_name_Hall '-R 3 2"'
_cell_length_a 3.7812
_cell_length_b 3.7812
_cell_length_c 28.3256
_cell_angle_alpha 90.00
_cell_angle_beta 90.00
_cell_angle_gamma 120.00
loop_
_atom_site_label
_atom_site_type_symbol
_atom_site_fract_x
_atom_site_fract_y
_atom_site_fract_z
Tb1 Tb 0.0000 0.0000 0.1114
Ni1 Ni 0.0000 0.0000 0.5000
Sn1 Sn 0.0000 0.0000 0.0000
```

Results
As for the energy above the most stable polymorph in this dataset: 421 meV per atom. Its formation energy is -0.09 eV/atom.

=====

# 3
VASP calculation (PBE-GGA) on a relaxed structure of Tb12NiSn6.

```
data_Tb12NiSn6
_symmetry_space_group_name_H-M 'R -3'
_symmetry_Int_Tables_number 148
_symmetry_space_group_name_Hall '-R 3'
_cell_length_a 13.1507
_cell_length_b 13.1507
_cell_length_c 12.2757
_cell_angle_alpha 90.00
_cell_angle_beta 90.00
_cell_angle_gamma 120.00
loop_
_atom_site_label
_atom_site_type_symbol
_atom_site_fract_x
_atom_site_fract_y
_atom_site_fract_z
Tb1 Tb 0.0315 0.8347 0.3931
Tb2 Tb 0.0621 0.8685 0.8827
Ni1 Ni 0.0000 0.0000 0.0000
Sn1 Sn 0.0466 0.7639 0.6428
```

Results
Its formation energy is -0.38 eV/atom.

=====

# 4
VASP calculation (PBE-GGA) on a relaxed structure of TbNi6Sn12.

```
data_TbNi6Sn12
_symmetry_space_group_name_H-M 'I m -3'
_symmetry_Int_Tables_number 204
_symmetry_space_group_name_Hall '-I 2 2 3'
_cell_length_a 9.368
_cell_length_b 9.368
_cell_length_c 9.368
_cell_angle_alpha 90.00
_cell_angle_beta 90.00
_cell_angle_gamma 90.00
loop_
_atom_site_label
_atom_site_type_symbol
_atom_site_fract_x
_atom_site_fract_y
_atom_site_fract_z
Tb1 Tb 0.000 0.000 0.000
Ni1 Ni 0.000 0.367 0.500
Sn1 Sn 0.000 0.175 0.305
```

Results
Its formation energy is -0.07 eV/atom.

=====

# 5
VASP calculation (PBE-GGA) on a relaxed structure of Tb3NiSn3.

```
data_Tb3NiSn3
_symmetry_space_group_name_H-M 'C 1 2/m 1'
_symmetry_Int_Tables_number 12
_symmetry_space_group_name_Hall '-C 2y'
_cell_length_a 11.159
_cell_length_b 4.468
_cell_length_c 14.851
_cell_angle_alpha 90.00
_cell_angle_beta 109.63
_cell_angle_gamma 90.00
loop_
_atom_site_label
_atom_site_type_symbol
_atom_site_fract_x
_atom_site_fract_y
_atom_site_fract_z
Tb1 Tb 0.025 0.000 0.383
Tb2 Tb 0.094 0.000 0.919
Tb3 Tb 0.243 0.000 0.234
Ni1 Ni 0.242 0.500 0.390
Sn1 Sn 0.033 0.500 0.240
Sn2 Sn 0.132 0.500 0.076
Sn3 Sn 0.151 0.500 0.541
```

Results
Its formation energy is -0.70 eV/atom.

=====

# 6
VASP calculation (PBE-GGA) on a relaxed structure of Tb2Ni3Sn5.

```
data_Tb2Ni3Sn5
_symmetry_space_group_name_H-M 'C m c 21'
_symmetry_Int_Tables_number 36
_symmetry_space_group_name_Hall 'C 2c -2'
_cell_length_a 4.356
_cell_length_b 26.168
_cell_length_c 7.200
_cell_angle_alpha 90.00
_cell_angle_beta 90.00
_cell_angle_gamma 90.00
loop_
_atom_site_label
_atom_site_type_symbol
_atom_site_fract_x
_atom_site_fract_y
_atom_site_fract_z
Tb1 Tb 0.000 0.026 0.000
Tb2 Tb 0.000 0.328 0.011
Ni1 Ni 0.000 0.106 0.743
Ni2 Ni 0.000 0.278 0.531
Ni3 Ni 0.000 0.451 0.779
Sn1 Sn 0.000 0.093 0.376
Sn2 Sn 0.000 0.203 0.812
Sn3 Sn 0.000 0.213 0.235
Sn4 Sn 0.000 0.380 0.503
Sn5 Sn 0.000 0.452 0.164
```

Results
Its formation energy is -0.49 eV/atom.

=====

# 7
VASP calculation (PBE-GGA) on a relaxed structure of Tb2NiSn.

```
data_Tb2NiSn
_symmetry_space_group_name_H-M 'F m -3 m'
_symmetry_Int_Tables_number 225
_symmetry_space_group_name_Hall '-F 4 2 3'
_cell_length_a 7.239
_cell_length_b 7.239
_cell_length_c 7.239
_cell_angle_alpha 90.00
_cell_angle_beta 90.00
_cell_angle_gamma 90.00
loop_
_atom_site_label
_atom_site_type_symbol
_atom_site_fract_x
_atom_site_fract_y
_atom_site_fract_z
Tb1 Tb 0.250 0.250 0.250
Ni1 Ni 0.000 0.000 0.000
Sn1 Sn 0.000 0.000 0.500
```

Results
As for the energy above the most stable polymorph in this dataset: 71 meV per atom. Its formation energy is -0.44 eV/atom.

=====

# 8
VASP calculation (PBE-GGA) on a relaxed structure of Tb3NiSn.

```
data_Tb3NiSn
_symmetry_space_group_name_H-M 'C 1 2/m 1'
_symmetry_Int_Tables_number 12
_symmetry_space_group_name_Hall '-C 2y'
_cell_length_a 16.394
_cell_length_b 3.701
_cell_length_c 8.682
_cell_angle_alpha 90.00
_cell_angle_beta 93.33
_cell_angle_gamma 90.00
loop_
_atom_site_label
_atom_site_type_symbol
_atom_site_fract_x
_atom_site_fract_y
_atom_site_fract_z
Tb1 Tb 0.047 0.000 0.206
Tb2 Tb 0.105 0.500 0.548
Tb3 Tb 0.243 0.500 0.213
Ni1 Ni 0.209 0.000 0.440
Sn1 Sn 0.113 0.500 0.922
```

Results
As for the energy above the most stable polymorph in this dataset: 0 meV per atom. Its formation energy is -0.46 eV/atom.

=====

# 9
VASP calculation (PBE-GGA) on a relaxed structure of TbNiSn.

```
data_TbNiSn
_symmetry_space_group_name_H-M 'P -6 m 2'
_symmetry_Int_Tables_number 187
_symmetry_space_group_name_Hall 'P -6 2'
_cell_length_a 4.4977
_cell_length_b 4.4977
_cell_length_c 3.6298
_cell_angle_alpha 90.00
_cell_angle_beta 90.00
_cell_angle_gamma 120.00
loop_
_atom_site_label
_atom_site_type_symbol
_atom_site_fract_x
_atom_site_fract_y
_atom_site_fract_z
Tb1 Tb 0.0000 0.0000 0.0000
Ni1 Ni 0.3333 0.6667 0.5000
Sn1 Sn 0.6667 0.3333 0.5000
```

Results
Its formation energy is -0.60 eV/atom.

=====

# 10
VASP calculation (PBE-GGA) on a relaxed structure of TbNiSn6.

```
data_TbNiSn6
_symmetry_space_group_name_H-M 'C 1 2/m 1'
_symmetry_Int_Tables_number 12
_symmetry_space_group_name_Hall '-C 2y'
_cell_length_a 6.347
_cell_length_b 10.747
_cell_length_c 6.639
_cell_angle_alpha 90.00
_cell_angle_beta 116.31
_cell_angle_gamma 90.00
loop_
_atom_site_label
_atom_site_type_symbol
_atom_site_fract_x
_atom_site_fract_y
_atom_site_fract_z
Tb1 Tb 0.000 0.000 0.000
Ni1 Ni 0.000 0.000 0.500
Sn1 Sn 0.059 0.500 0.282
Sn2 Sn 0.119 0.224 0.748
```

Results
Its formation energy is -0.16 eV/atom.

=====

# 11
VASP calculation (PBE-GGA) on a relaxed structure of Tb3NiSn2.

```
data_Tb3NiSn2
_symmetry_space_group_name_H-M 'P n m a'
_symmetry_Int_Tables_number 62
_symmetry_space_group_name_Hall '-P 2ac 2n'
_cell_length_a 12.081
_cell_length_b 4.387
_cell_length_c 11.712
_cell_angle_alpha 90.00
_cell_angle_beta 90.00
_cell_angle_gamma 90.00
loop_
_atom_site_label
_atom_site_type_symbol
_atom_site_fract_x
_atom_site_fract_y
_atom_site_fract_z
Tb1 Tb 0.055 0.250 0.128
Tb2 Tb 0.121 0.750 0.553
Tb3 Tb 0.231 0.250 0.796
Ni1 Ni 0.127 0.250 0.366
Sn1 Sn 0.009 0.750 0.311
Sn2 Sn 0.192 0.750 0.997
```

Results
Its formation energy is -0.67 eV/atom.

=====

# 12
VASP calculation (PBE-GGA) on a relaxed structure of TbNi5Sn.

```
data_TbNi5Sn
_symmetry_space_group_name_H-M 'P n m a'
_symmetry_Int_Tables_number 62
_symmetry_space_group_name_Hall '-P 2ac 2n'
_cell_length_a 8.065
_cell_length_b 4.879
_cell_length_c 10.252
_cell_angle_alpha 90.00
_cell_angle_beta 90.00
_cell_angle_gamma 90.00
loop_
_atom_site_label
_atom_site_type_symbol
_atom_site_fract_x
_atom_site_fract_y
_atom_site_fract_z
Tb1 Tb 0.248 0.250 0.060
Ni1 Ni 0.050 0.250 0.600
Ni2 Ni 0.066 0.501 0.809
Ni3 Ni 0.085 0.750 0.017
Ni4 Ni 0.187 0.750 0.244
Sn1 Sn 0.141 0.250 0.361
```

Results
Its formation energy is -0.37 eV/atom.